<w>
A relaxed structure of NaTiMo2. Source: the Alexandria database, functional PBE.

abc: 3.837 3.837 10.156
angles: 79.11 79.11 90.00
Positions (direct):
Na (0.500, 0.500, 0.000)
Na (0.250, 0.750, 0.500)
Mo (0.095, 0.125, 0.250)
Mo (0.655, 0.625, 0.250)
Mo (0.375, 0.905, 0.750)
Mo (0.875, 0.345, 0.750)
Ti (0.000, 0.000, 0.000)
Ti (0.750, 0.250, 0.500)

## Properties
* crystal system: tetragonal

---

<x>
A relaxed structure of NaTiMo2. Source: the Alexandria database, functional PBE.

abc: 4.558 4.558 4.558
angles: 60.00 60.00 60.00
Positions (direct):
Na (0.000, 0.000, 0.000)
Mo (0.250, 0.250, 0.250)
Mo (0.750, 0.750, 0.750)
Ti (0.500, 0.500, 0.500)

## Properties
* crystal system: cubic

---

So which one is most stable? That would be <x>, about 0.064 eV/atom below the next structure.

---

<w>
A relaxed structure of NaTi2Mo. Source: the Alexandria database, functional PBE.

abc: 4.607 4.607 4.607
angles: 60.00 60.00 60.00
Positions (direct):
Na (0.000, 0.000, 0.000)
Mo (0.500, 0.500, 0.500)
Ti (0.250, 0.250, 0.250)
Ti (0.750, 0.750, 0.750)

## Properties
* crystal system: cubic

---

<x>
A relaxed structure of NaTi2Mo. Source: the Alexandria database, functional PBE.

abc: 3.995 3.995 9.714
angles: 78.13 78.13 90.00
Site moments in Bohr magnetons follow the coordinates.
Positions (direct):
Na (0.500, 0.500, 0.000)  0.00
Na (0.250, 0.750, 0.500)  0.00
Mo (0.000, 0.000, 0.000)  -0.20
Mo (0.750, 0.250, 0.500)  -0.19
Ti (0.653, 0.125, 0.250)  0.04
Ti (0.097, 0.625, 0.250)  0.04
Ti (0.375, 0.347, 0.750)  0.04
Ti (0.875, 0.903, 0.750)  0.04

## Properties
* crystal system: tetragonal

---

So which one is most stable? That would be <w>, about 0.561 eV/atom below the next structure.